# KTaAu2 (PBE, relaxed)
# Density in Mg/m³: 10.63
# Size of the total moment in μB per atom: 0.000
# E_form in eV per atom: 0.232
data_KTaAu2
_symmetry_space_group_name_H-M 'P 1'
_symmetry_Int_Tables_number 1
_cell_length_a 4.575
_cell_length_b 4.575
_cell_length_c 7.788
_cell_angle_alpha 94.46
_cell_angle_beta 94.46
_cell_angle_gamma 36.19
loop_
_symmetry_equiv_pos_as_xyz
'x,y,z'
loop_
_atom_site_label
_atom_site_type_symbol
_atom_site_fract_x
_atom_site_fract_y
_atom_site_fract_z
K1 K 0.000 0.000 0.000
Ta1 Ta 0.500 0.500 0.500
Au1 Au 0.244 0.244 0.683
Au2 Au 0.756 0.756 0.317

***

# K4TaAu (PBE, relaxed)
# Density in Mg/m³: 3.83
# Size of the total moment in μB per atom: 0.708
# E_form in eV per atom: 1.155
data_K4TaAu
_symmetry_space_group_name_H-M 'P 1'
_symmetry_Int_Tables_number 1
_cell_length_a 6.896
_cell_length_b 6.896
_cell_length_c 6.896
_cell_angle_alpha 60.00
_cell_angle_beta 60.00
_cell_angle_gamma 60.00
loop_
_symmetry_equiv_pos_as_xyz
'x,y,z'
loop_
_atom_site_label
_atom_site_type_symbol
_atom_site_fract_x
_atom_site_fract_y
_atom_site_fract_z
K1 K 0.125 0.125 0.125
K2 K 0.125 0.125 0.624
K3 K 0.125 0.624 0.125
K4 K 0.624 0.125 0.125
Ta1 Ta 0.750 0.750 0.750
Au1 Au 0.500 0.500 0.500

***

# KTaAu2 (PBE, relaxed)
# Density in Mg/m³: 11.80
# Size of the total moment in μB per atom: 0.000
# E_form in eV per atom: 0.341
data_KTaAu2
_symmetry_space_group_name_H-M 'P 1'
_symmetry_Int_Tables_number 1
_cell_length_a 6.563
_cell_length_b 6.563
_cell_length_c 6.563
_cell_angle_alpha 155.14
_cell_angle_beta 133.10
_cell_angle_gamma 53.80
loop_
_symmetry_equiv_pos_as_xyz
'x,y,z'
loop_
_atom_site_label
_atom_site_type_symbol
_atom_site_fract_x
_atom_site_fract_y
_atom_site_fract_z
K1 K 0.000 0.000 0.000
Ta1 Ta 0.713 0.213 0.500
Au1 Au 0.271 0.771 0.500
Au2 Au 0.504 0.504 0.000

***

# KTa2Au (PBE, relaxed)
# Density in Mg/m³: 11.34
# Size of the total moment in μB per atom: 0.000
# E_form in eV per atom: 0.377
data_KTa2Au
_symmetry_space_group_name_H-M 'P 1'
_symmetry_Int_Tables_number 1
_cell_length_a 2.934
_cell_length_b 2.934
_cell_length_c 10.455
_cell_angle_alpha 90.00
_cell_angle_beta 90.00
_cell_angle_gamma 103.40
loop_
_symmetry_equiv_pos_as_xyz
'x,y,z'
loop_
_atom_site_label
_atom_site_type_symbol
_atom_site_fract_x
_atom_site_fract_y
_atom_site_fract_z
K1 K 0.000 0.000 0.000
Ta1 Ta 0.000 0.000 0.476
Ta2 Ta 0.500 0.500 0.679
Au1 Au 0.500 0.500 0.268

***

# KTa2Au (PBE, relaxed)
# Density in Mg/m³: 11.54
# Size of the total moment in μB per atom: 0.002
# E_form in eV per atom: 1.135
data_KTa2Au
_symmetry_space_group_name_H-M 'P 1'
_symmetry_Int_Tables_number 1
_cell_length_a 4.022
_cell_length_b 4.022
_cell_length_c 5.317
_cell_angle_alpha 90.00
_cell_angle_beta 90.00
_cell_angle_gamma 90.00
loop_
_symmetry_equiv_pos_as_xyz
'x,y,z'
loop_
_atom_site_label
_atom_site_type_symbol
_atom_site_fract_x
_atom_site_fract_y
_atom_site_fract_z
K1 K 0.000 0.000 0.000
Ta1 Ta 0.000 0.500 0.500
Ta2 Ta 0.500 0.000 0.500
Au1 Au 0.500 0.500 0.000

***

# KTa2Au (PBE, relaxed)
# Density in Mg/m³: 11.59
# Size of the total moment in μB per atom: 0.000
# E_form in eV per atom: 1.123
data_KTa2Au
_symmetry_space_group_name_H-M 'P 1'
_symmetry_Int_Tables_number 1
_cell_length_a 6.002
_cell_length_b 6.002
_cell_length_c 6.002
_cell_angle_alpha 140.80
_cell_angle_beta 140.80
_cell_angle_gamma 56.64
loop_
_symmetry_equiv_pos_as_xyz
'x,y,z'
loop_
_atom_site_label
_atom_site_type_symbol
_atom_site_fract_x
_atom_site_fract_y
_atom_site_fract_z
K1 K 0.000 0.000 0.000
Ta1 Ta 0.250 0.750 0.500
Ta2 Ta 0.750 0.250 0.500
Au1 Au 0.500 0.500 0.000

***

# K2TaAu (PBE, relaxed)
# Density in Mg/m³: 7.30
# Size of the total moment in μB per atom: 0.217
# E_form in eV per atom: 0.967
data_K2TaAu
_symmetry_space_group_name_H-M 'P 1'
_symmetry_Int_Tables_number 1
_cell_length_a 2.879
_cell_length_b 5.890
_cell_length_c 6.116
_cell_angle_alpha 90.00
_cell_angle_beta 90.00
_cell_angle_gamma 90.00
loop_
_symmetry_equiv_pos_as_xyz
'x,y,z'
loop_
_atom_site_label
_atom_site_type_symbol
_atom_site_fract_x
_atom_site_fract_y
_atom_site_fract_z
K1 K 0.000 0.000 0.243
K2 K 0.000 0.000 0.757
Ta1 Ta 0.500 0.500 0.500
Au1 Au 0.500 0.500 0.000

***

# K2TaAu (PBE, relaxed)
# Density in Mg/m³: 6.58
# Size of the total moment in μB per atom: 0.022
# E_form in eV per atom: 0.743
data_K2TaAu
_symmetry_space_group_name_H-M 'P 1'
_symmetry_Int_Tables_number 1
_cell_length_a 12.357
_cell_length_b 12.357
_cell_length_c 12.357
_cell_angle_alpha 15.35
_cell_angle_beta 15.35
_cell_angle_gamma 15.35
loop_
_symmetry_equiv_pos_as_xyz
'x,y,z'
loop_
_atom_site_label
_atom_site_type_symbol
_atom_site_fract_x
_atom_site_fract_y
_atom_site_fract_z
K1 K 0.000 0.000 0.000
K2 K 0.221 0.221 0.221
Ta1 Ta 0.467 0.467 0.467
Au1 Au 0.745 0.745 0.745